Record 1
VASP calculation (PBE) on a relaxed AlMoSN2 crystal.

Calculated values
For the formation energy without anion corrections, the calculation gives 308 meV per atom. For the total moment, the calculation gives 0.00 μB per formula unit. As for the crystal system: tetragonal.

Unit cell a=3.881 b=3.881 c=5.049 alpha=90.00 beta=90.00 gamma=90.00
Space group P4/mmm (No. 123)
Inequivalent atoms, fractional coordinates:
Al (0.000, 0.000, 0.000)
Mo (0.500, 0.500, 0.500)
S (0.500, 0.500, 0.000)
N (0.000, 0.500, 0.500)

***

Record 2
VASP calculation (PBE) on a relaxed AlMoSN2 crystal.

Calculated values
For the formation energy without anion corrections, the calculation gives 803 meV per atom. For the total moment, the calculation gives 0.00 μB per formula unit. As for the crystal system: tetragonal.

Unit cell a=3.674 b=3.674 c=4.646 alpha=90.00 beta=90.00 gamma=90.00
Space group P4/mmm (No. 123)
Inequivalent atoms, fractional coordinates:
Al (0.000, 0.000, 0.000)
Mo (0.500, 0.500, 0.500)
S (0.000, 0.000, 0.500)
N (0.000, 0.500, 0.000)